# 1
The following is a PBE-GGA calculation of a relaxed structure of BaScTa2, from the Alexandria database.

Geometry as extended XYZ:
```
16
Lattice="5.058 0.000 0.000 0.000 5.058 0.000 0.000 0.000 21.004" Properties=species:S:1:pos:R:3 pbc="T T T"
Ba 0.000 1.264 7.877
Ba 0.000 3.793 13.128
Ba 2.529 1.264 2.626
Ba 2.529 3.793 18.379
Sc 0.000 1.264 18.379
Sc 0.000 3.793 2.626
Sc 2.529 1.264 13.128
Sc 2.529 3.793 7.877
Ta 0.000 0.000 0.000
Ta 0.000 2.529 0.000
Ta 1.264 1.264 15.753
Ta 1.264 3.793 5.251
Ta 2.529 0.000 10.502
Ta 2.529 2.529 10.502
Ta 3.793 1.264 15.753
Ta 3.793 3.793 5.251
```

ρ: 6.7 Mg/m³
spin magnetization: 0.000 Bohr magnetons per cell
offset from the most stable computed form: 357 kJ/mol of formula units
DFT formation energy: 1357 meV/atom

# 2
The following is a PBE-GGA calculation of a relaxed structure of NdDy2Ho6Sc3, from the Alexandria database.

Geometry as extended XYZ:
```
12
Lattice="3.020 -5.229 0.000 3.020 5.229 0.000 -2.010 0.000 11.288" Properties=species:S:1:pos:R:3 pbc="T T T"
Nd 0.000 0.000 0.000
Dy 3.020 1.742 0.000
Dy 3.020 -1.742 0.000
Ho 1.011 1.745 2.936
Ho 0.003 0.000 8.350
Ho 1.011 -1.745 2.936
Ho 3.019 1.745 8.352
Ho 4.027 0.000 2.938
Ho 3.019 -1.745 8.352
Sc 2.015 3.483 5.644
Sc 2.015 0.000 5.644
Sc 2.015 -3.483 5.644
```

ρ: 7.4 Mg/m³
spin magnetization: 0.000 Bohr magnetons per cell
DFT formation energy: 44 meV/atom

# 3
The following is a PBE-GGA calculation of a relaxed structure of LaZn2Co, from the Alexandria database.

Geometry as extended XYZ:
```
4
Lattice="3.251 0.000 0.000 0.000 3.251 0.000 0.000 0.000 6.993" Properties=species:S:1:pos:R:3 pbc="T T T"
La 0.000 0.000 0.000
Zn 0.000 0.000 3.928
Zn 1.625 1.625 2.460
Co 1.625 1.625 5.061
```

ρ: 7.4 Mg/m³
spin magnetization: 0.682 Bohr magnetons per cell
DFT formation energy: -18 meV/atom

# 4
The following is a PBE-GGA calculation of a relaxed structure of MgFePCl2, from the Alexandria database.

Geometry as extended XYZ:
```
5
Lattice="4.582 0.000 0.000 0.000 4.582 0.000 0.000 0.000 5.607" Properties=species:S:1:pos:R:3 pbc="T T T"
Mg 0.000 0.000 0.000
Fe 2.291 2.291 2.804
P 0.000 0.000 2.804
Cl 0.000 2.291 0.000
Cl 2.291 0.000 0.000
```

ρ: 2.6 Mg/m³
uncorrected formation energy: 0.8 eV per formula unit
spin magnetization: 3.599 Bohr magnetons per cell
offset from the most stable computed form: 128 kJ/mol of formula units

# 5
The following is a PBE-GGA calculation of a relaxed structure of Nd5Er3Cd, from the Alexandria database.

Geometry as extended XYZ:
```
18
Lattice="7.359 -5.881 0.000 7.359 5.881 0.000 -4.993 0.000 7.776" Properties=species:S:1:pos:R:3 pbc="T T T"
Nd -0.988 0.000 2.692
Nd 3.381 2.752 2.355
Nd 7.359 3.028 0.000
Nd 1.782 0.000 4.406
Nd 6.344 2.752 5.422
Nd 3.381 -2.752 2.355
Nd 7.944 0.000 3.370
Nd 7.359 -3.028 0.000
Nd 6.344 -2.752 5.422
Nd 10.713 0.000 5.084
Er 1.702 0.000 0.679
Er -0.912 0.000 6.088
Er 7.359 0.000 0.000
Er 4.863 0.000 3.888
Er 10.638 0.000 1.688
Er 8.024 0.000 7.097
Cd 4.741 0.000 1.109
Cd 4.985 0.000 6.667
```

ρ: 6.6 Mg/m³
spin magnetization: 0.000 Bohr magnetons per cell
DFT formation energy: 448 meV/atom

# 6
The following is a PBE-GGA calculation of a relaxed structure of Sc6Al3Ag, from the Alexandria database.

Geometry as extended XYZ:
```
20
Lattice="8.407 0.000 0.000 0.000 10.835 0.000 0.000 0.000 4.790" Properties=species:S:1:pos:R:3 pbc="T T T"
Sc 0.062 2.683 0.000
Sc 1.412 4.355 2.395
Sc 1.453 1.027 2.395
Sc 2.751 6.445 0.000
Sc 2.792 9.773 0.000
Sc 4.142 8.100 2.395
Sc 4.265 2.735 2.395
Sc 5.615 1.062 0.000
Sc 5.656 4.390 0.000
Sc 6.954 9.808 2.395
Sc 6.995 6.480 2.395
Sc 8.346 8.152 0.000
Al 0.000 5.417 0.000
Al 1.349 7.883 2.395
Al 2.855 2.466 0.000
Al 4.204 0.000 2.395
Al 5.552 8.369 0.000
Al 7.058 2.952 2.395
Ag 0.000 0.000 0.000
Ag 4.204 5.417 2.395
```

ρ: 3.5 Mg/m³
spin magnetization: 0.001 Bohr magnetons per cell
offset from the most stable computed form: 112 kJ/mol of formula units
DFT formation energy: -206 meV/atom

# 7
The following is a PBE-GGA calculation of a relaxed structure of PuTh4Se6, from the Alexandria database.

Geometry as extended XYZ:
```
22
Lattice="5.877 3.393 4.716 -5.877 3.393 4.716 0.000 -6.786 4.716" Properties=species:S:1:pos:R:3 pbc="T T T"
Pu 0.000 0.000 0.000
Pu 0.000 0.000 7.074
Th -3.568 0.607 5.895
Th 0.000 0.000 3.537
Th -2.309 -2.786 8.253
Th 1.258 -3.393 5.895
Th -1.258 3.393 8.253
Th 2.309 2.786 5.895
Th 0.000 0.000 10.610
Th 3.568 -0.607 8.253
Se -5.005 -1.259 7.774
Se -1.412 -4.964 6.373
Se -1.412 -1.822 5.416
Se -3.593 3.705 6.373
Se -0.871 2.134 5.416
Se -2.284 0.312 8.731
Se 2.284 -0.312 5.416
Se 0.871 -2.134 8.731
Se 3.593 -3.705 7.774
Se 1.412 1.822 8.731
Se 1.412 4.964 7.774
Se 5.005 1.259 6.373
```

ρ: 9.7 Mg/m³
uncorrected formation energy: -15.4 eV per formula unit
spin magnetization: 12.887 Bohr magnetons per cell

# 8
The following is a PBE-GGA calculation of a relaxed structure of Ca2Bi2Pb, from the Alexandria database.

Geometry as extended XYZ:
```
10
Lattice="7.427 -3.180 0.000 7.427 3.180 0.000 -3.845 0.000 9.466" Properties=species:S:1:pos:R:3 pbc="T T T"
Ca -0.515 0.000 1.956
Ca 1.553 0.000 9.129
Ca 9.456 0.000 0.337
Ca 11.524 0.000 7.510
Bi 2.351 0.000 0.661
Bi 4.069 0.000 6.807
Bi 6.940 0.000 2.659
Bi 8.658 0.000 8.805
Pb 3.951 0.000 3.369
Pb 7.058 0.000 6.098
```

ρ: 5.2 Mg/m³
spin magnetization: 0.000 Bohr magnetons per cell
offset from the most stable computed form: 106 kJ/mol of formula units
DFT formation energy: -348 meV/atom